Material: LaMg3Si2
Method: DFT, PBE-GGA
State: relaxed

Cell lengths 4.299, 9.156, 10.657 Å; angles 103.72, 90.00, 103.58 degrees
Positions (direct):
La: 0.153 0.305 0.702
La: 0.847 0.695 0.298
La: 0.000 0.000 0.000
Mg: 0.042 0.083 0.347
Mg: 0.958 0.917 0.653
Mg: 0.213 0.426 0.399
Mg: 0.787 0.574 0.601
Mg: 0.622 0.245 0.216
Mg: 0.378 0.755 0.784
Mg: 0.500 0.000 0.500
Mg: 0.323 0.646 0.025
Mg: 0.677 0.354 0.975
Si: 0.199 0.398 0.141
Si: 0.801 0.602 0.859
Si: 0.462 0.924 0.205
Si: 0.538 0.076 0.795
Si: 0.357 0.715 0.525
Si: 0.643 0.285 0.475

Space-group type: C2/m
Crystal system: monoclinic
Total DFT energy (no corrections), eV/f.u.: -22.7
Formation energy without anion corrections, eV per formula unit: -2.11